No. 1
The following is a PBE+U calculation of crystalline MoH12C2N6O4 at its relaxed geometry, from Alexandria.

**E**: -6.043 eV/atom
**Size of the total moment**: 0.000 μB per cell

a = 6.638 Å, b = 7.060 Å, c = 11.109 Å
α = 90.00°, β = 98.82°, γ = 90.00°
Fractional coordinates of all 50 atoms:
Mo  0.238  0.250  0.247
Mo  0.762  0.750  0.753
H  0.118  0.627  0.325
H  0.118  0.873  0.325
H  0.154  0.074  0.865
H  0.154  0.426  0.865
H  0.240  0.040  0.506
H  0.240  0.460  0.506
H  0.310  0.627  0.131
H  0.310  0.873  0.131
H  0.324  0.594  0.640
H  0.324  0.906  0.640
H  0.386  0.538  0.862
H  0.386  0.962  0.862
H  0.614  0.038  0.138
H  0.614  0.462  0.138
H  0.676  0.094  0.360
H  0.676  0.406  0.360
H  0.690  0.127  0.869
H  0.690  0.373  0.869
H  0.760  0.540  0.494
H  0.760  0.960  0.494
H  0.846  0.574  0.135
H  0.846  0.926  0.135
H  0.882  0.127  0.675
H  0.882  0.373  0.675
C  0.210  0.750  0.493
C  0.408  0.250  0.876
C  0.592  0.750  0.124
C  0.790  0.250  0.507
N  0.130  0.750  0.375
N  0.246  0.586  0.553
N  0.246  0.914  0.553
N  0.310  0.084  0.877
N  0.310  0.416  0.877
N  0.389  0.750  0.122
N  0.611  0.250  0.878
N  0.690  0.584  0.123
N  0.690  0.916  0.123
N  0.754  0.086  0.447
N  0.754  0.414  0.447
N  0.870  0.250  0.625
O  0.113  0.037  0.186
O  0.113  0.463  0.186
O  0.246  0.250  0.409
O  0.499  0.250  0.215
O  0.501  0.750  0.785
O  0.754  0.750  0.591
O  0.887  0.537  0.814
O  0.887  0.963  0.814

=====

No. 2
The following is a PBE+U calculation of crystalline Mo2HCO at its relaxed geometry, from Alexandria.

**E**: -5.355 eV/atom
**Size of the total moment**: 0.000 μB per cell

a = 4.220 Å, b = 4.220 Å, c = 2.659 Å
α = 90.00°, β = 90.00°, γ = 90.00°
Fractional coordinates of all 5 atoms:
Mo  0.000  0.500  0.000
Mo  0.500  0.000  0.000
H  0.000  0.000  0.500
C  0.500  0.500  0.500
O  0.000  0.000  0.000

=====

> Which of these has the highest E?

Mo2HCO